No. 1
Computed, not measured: an optimized crystal structure of ScMnNi2 at the PBE level of DFT.

Values from the calculation:
E_tot: -27.4 eV per cell
energy of formation from the pure elements: -95 meV per atom

Cell lengths 3.2454, 3.2454, 5.4667 Å; angles 90.00, 90.00, 90.00 degrees
Space group P4mm (No. 99)
Unique sites:
Sc: 0.0000 0.0000 0.0000
Mn: 0.5000 0.5000 0.3312
Ni: 0.0000 0.0000 0.5057
Ni: 0.5000 0.5000 0.7736


No. 2
Computed, not measured: an optimized crystal structure of NbReGe2 at the PBE level of DFT.

Values from the calculation:
E_tot: -125.4 eV per cell
energy of formation from the pure elements: 99 meV per atom

Cell lengths 6.3052, 6.3052, 6.3052 Å; angles 90.00, 90.00, 90.00 degrees
Space group Fm-3m (No. 225)
Unique sites:
Nb: 0.0000 0.0000 0.0000
Re: 0.0000 0.0000 0.5000
Ge: 0.2500 0.2500 0.2500